1.
The following is a DFT calculation (GGA-PBE) of a geometry-optimized Cs2K2Na15 structure.

Unit cell a=9.716 b=9.716 c=9.716 alpha=83.08 beta=83.08 gamma=83.08
Sites, in units of the cell vectors:
Cs: 0.152 0.152 0.152
Cs: 0.848 0.848 0.848
K: 0.397 0.397 0.397
K: 0.603 0.603 0.603
Na: 0.000 0.500 0.500
Na: 0.152 0.152 0.659
Na: 0.152 0.659 0.152
Na: 0.196 0.500 0.804
Na: 0.196 0.804 0.500
Na: 0.341 0.848 0.848
Na: 0.500 0.000 0.500
Na: 0.500 0.196 0.804
Na: 0.500 0.500 0.000
Na: 0.500 0.804 0.196
Na: 0.659 0.152 0.152
Na: 0.804 0.196 0.500
Na: 0.804 0.500 0.196
Na: 0.848 0.341 0.848
Na: 0.848 0.848 0.341

Properties
DFT formation energy in meV/atom: 19



2.
The following is a DFT calculation (GGA-PBE) of a geometry-optimized CsKNa3 structure.

Unit cell a=13.271 b=7.870 c=10.888 alpha=90.00 beta=94.72 gamma=90.00
Sites, in units of the cell vectors:
Cs: 0.109 0.119 0.192
Cs: 0.109 0.381 0.692
Cs: 0.891 0.619 0.308
Cs: 0.891 0.881 0.808
K: 0.434 0.614 0.670
K: 0.434 0.886 0.170
K: 0.566 0.114 0.830
K: 0.566 0.386 0.330
Na: 0.134 0.623 0.039
Na: 0.134 0.877 0.539
Na: 0.263 0.557 0.347
Na: 0.263 0.943 0.847
Na: 0.366 0.103 0.516
Na: 0.366 0.397 0.016
Na: 0.634 0.603 0.984
Na: 0.634 0.897 0.484
Na: 0.737 0.057 0.153
Na: 0.737 0.443 0.653
Na: 0.866 0.123 0.461
Na: 0.866 0.377 0.961

Properties
DFT formation energy in meV/atom: 29



- Look up the DFT formation energy of the second one.
  29 meV/atom



What did the first record say?
The following is a DFT calculation (GGA-PBE) of a geometry-optimized Cs2K2Na15 structure.

Unit cell a=9.716 b=9.716 c=9.716 alpha=83.08 beta=83.08 gamma=83.08
Sites, in units of the cell vectors:
Cs: 0.152 0.152 0.152
Cs: 0.848 0.848 0.848
K: 0.397 0.397 0.397
K: 0.603 0.603 0.603
Na: 0.000 0.500 0.500
Na: 0.152 0.152 0.659
Na: 0.152 0.659 0.152
Na: 0.196 0.500 0.804
Na: 0.196 0.804 0.500
Na: 0.341 0.848 0.848
Na: 0.500 0.000 0.500
Na: 0.500 0.196 0.804
Na: 0.500 0.500 0.000
Na: 0.500 0.804 0.196
Na: 0.659 0.152 0.152
Na: 0.804 0.196 0.500
Na: 0.804 0.500 0.196
Na: 0.848 0.341 0.848
Na: 0.848 0.848 0.341

Properties
DFT formation energy in meV/atom: 19



- Among the records above, which one has the lowest DFT formation energy?
  Cs2K2Na15